VASP calculation (PBE) on crystalline Sn2PN2 at its relaxed geometry.

Uncorrected formation energy ... 0.108 eV/atom

a = 3.687 Å, b = 3.687 Å, c = 12.739 Å
α = 95.22°, β = 95.22°, γ = 59.86°
Sites, in units of the cell vectors:
Sn  0.138  0.138  0.362
Sn  0.862  0.862  0.638
P  0.500  0.500  0.500
N  0.060  0.060  0.035
N  0.940  0.940  0.965

---

VASP calculation (PBE) on crystalline SrSn3P4N12 at its relaxed geometry.

Uncorrected formation energy ... 0.020 eV/atom

a = 6.719 Å, b = 6.719 Å, c = 6.719 Å
α = 104.03°, β = 104.03°, γ = 104.03°
Sites, in units of the cell vectors:
Sr  0.000  0.000  0.000
Sn  0.000  0.554  0.446
Sn  0.446  0.000  0.554
Sn  0.554  0.446  0.000
P  0.057  0.500  0.943
P  0.500  0.500  0.500
P  0.500  0.943  0.057
P  0.943  0.057  0.500
N  0.023  0.627  0.778
N  0.093  0.907  0.500
N  0.222  0.373  0.977
N  0.351  0.649  0.500
N  0.373  0.977  0.222
N  0.500  0.093  0.907
N  0.500  0.351  0.649
N  0.627  0.778  0.023
N  0.649  0.500  0.351
N  0.778  0.023  0.627
N  0.907  0.500  0.093
N  0.977  0.222  0.373

---

VASP calculation (PBE) on crystalline SrSnP2N at its relaxed geometry.

Uncorrected formation energy ... 0.467 eV/atom

a = 5.234 Å, b = 5.234 Å, c = 4.209 Å
α = 90.00°, β = 90.00°, γ = 90.00°
Sites, in units of the cell vectors:
Sr  0.000  0.000  0.000
Sn  0.500  0.500  0.500
P  0.000  0.500  0.500
P  0.500  0.000  0.500
N  0.500  0.500  0.000

---

VASP calculation (PBE) on crystalline Tb2SnPN5 at its relaxed geometry.

Uncorrected formation energy ... -0.722 eV/atom

a = 7.669 Å, b = 7.669 Å, c = 9.766 Å
α = 90.00°, β = 90.00°, γ = 156.36°
Sites, in units of the cell vectors:
Tb  0.113  0.887  0.500
Tb  0.119  0.881  0.146
Tb  0.881  0.119  0.646
Tb  0.887  0.113  0.000
Sn  0.213  0.787  0.859
Sn  0.787  0.213  0.359
P  0.451  0.549  0.255
P  0.549  0.451  0.755
N  0.024  0.976  0.839
N  0.293  0.707  0.510
N  0.343  0.657  0.219
N  0.351  0.649  0.831
N  0.500  0.500  0.108
N  0.500  0.500  0.608
N  0.649  0.351  0.331
N  0.657  0.343  0.719
N  0.707  0.293  0.010
N  0.976  0.024  0.339

---

VASP calculation (PBE) on crystalline SnTePN2 at its relaxed geometry.

E above lowest polymorph ... 0 meV per atom
Uncorrected formation energy ... 1.250 eV/atom

a = 3.943 Å, b = 3.943 Å, c = 5.223 Å
α = 90.00°, β = 90.00°, γ = 90.00°
Sites, in units of the cell vectors:
Sn  0.000  0.000  0.000
Te  0.500  0.500  0.000
P  0.500  0.500  0.500
N  0.000  0.500  0.500
N  0.500  0.000  0.500

---

VASP calculation (PBE) on crystalline SnTePN2 at its relaxed geometry.

E above lowest polymorph ... 276 meV per atom
Uncorrected formation energy ... 1.525 eV/atom

a = 3.989 Å, b = 3.989 Å, c = 7.176 Å
α = 90.00°, β = 90.00°, γ = 90.00°
Sites, in units of the cell vectors:
Sn  0.000  0.000  0.000
Te  0.000  0.000  0.500
P  0.500  0.500  0.500
N  0.000  0.500  0.000
N  0.500  0.000  0.000

---

VASP calculation (PBE) on crystalline Th3SnPN at its relaxed geometry.

Uncorrected formation energy ... -1.137 eV/atom

a = 8.783 Å, b = 4.188 Å, c = 9.292 Å
α = 90.00°, β = 102.02°, γ = 90.00°
Sites, in units of the cell vectors:
Th  0.075  0.250  0.348
Th  0.328  0.250  0.978
Th  0.385  0.750  0.648
Th  0.615  0.250  0.352
Th  0.672  0.750  0.022
Th  0.925  0.750  0.652
Sn  0.321  0.750  0.271
Sn  0.679  0.250  0.729
P  0.157  0.250  0.663
P  0.843  0.750  0.337
N  0.414  0.750  0.904
N  0.586  0.250  0.096

---

VASP calculation (PBE) on crystalline Th2SnPN5 at its relaxed geometry.

Uncorrected formation energy ... -0.584 eV/atom

a = 6.850 Å, b = 6.850 Å, c = 5.617 Å
α = 90.00°, β = 90.00°, γ = 90.00°
Sites, in units of the cell vectors:
Th  0.185  0.315  0.000
Th  0.315  0.815  0.000
Th  0.685  0.185  0.000
Th  0.815  0.685  0.000
Sn  0.000  0.000  0.500
Sn  0.500  0.500  0.500
P  0.000  0.500  0.500
P  0.500  0.000  0.500
N  0.000  0.000  0.000
N  0.125  0.625  0.278
N  0.125  0.625  0.722
N  0.375  0.125  0.278
N  0.375  0.125  0.722
N  0.500  0.500  0.000
N  0.625  0.875  0.278
N  0.625  0.875  0.722
N  0.875  0.375  0.278
N  0.875  0.375  0.722

---

VASP calculation (PBE) on crystalline Zn2SnPN4 at its relaxed geometry.

Uncorrected formation energy ... -0.137 eV/atom

a = 6.830 Å, b = 5.488 Å, c = 5.237 Å
α = 90.00°, β = 90.00°, γ = 90.00°
Sites, in units of the cell vectors:
Zn  0.250  0.175  0.000
Zn  0.250  0.825  0.500
Zn  0.750  0.175  0.000
Zn  0.750  0.825  0.500
Sn  0.000  0.324  0.493
Sn  0.500  0.676  0.993
P  0.000  0.681  0.003
P  0.500  0.319  0.503
N  0.000  0.387  0.913
N  0.000  0.690  0.324
N  0.196  0.823  0.888
N  0.304  0.177  0.388
N  0.500  0.310  0.824
N  0.500  0.613  0.413
N  0.696  0.177  0.388
N  0.804  0.823  0.888

---

VASP calculation (PBE) on crystalline Sr2PN3 at its relaxed geometry.

Uncorrected formation energy ... -0.997 eV/atom

a = 6.099 Å, b = 6.099 Å, c = 11.995 Å
α = 90.00°, β = 90.00°, γ = 127.53°
Sites, in units of the cell vectors:
Sr  0.056  0.944  0.858
Sr  0.140  0.860  0.425
Sr  0.360  0.640  0.925
Sr  0.444  0.556  0.358
Sr  0.556  0.444  0.642
Sr  0.640  0.360  0.075
Sr  0.860  0.140  0.575
Sr  0.944  0.056  0.142
P  0.242  0.758  0.668
P  0.258  0.742  0.168
P  0.742  0.258  0.832
P  0.758  0.242  0.332
N  0.030  0.470  0.750
N  0.095  0.905  0.641
N  0.165  0.835  0.062
N  0.335  0.665  0.562
N  0.405  0.595  0.141
N  0.470  0.030  0.250
N  0.530  0.970  0.750
N  0.595  0.405  0.859
N  0.665  0.335  0.438
N  0.835  0.165  0.938
N  0.905  0.095  0.359
N  0.970  0.530  0.250

---

VASP calculation (PBE) on crystalline SrP4N7 at its relaxed geometry.

Uncorrected formation energy ... -0.459 eV/atom

a = 12.060 Å, b = 4.970 Å, c = 4.795 Å
α = 90.00°, β = 90.00°, γ = 90.00°
Sites, in units of the cell vectors:
Sr  0.000  0.180  0.000
Sr  0.500  0.820  0.500
P  0.120  0.675  0.485
P  0.249  0.808  0.978
P  0.251  0.192  0.478
P  0.380  0.325  0.985
P  0.620  0.325  0.985
P  0.749  0.192  0.478
P  0.751  0.808  0.978
P  0.880  0.675  0.485
N  0.000  0.770  0.373
N  0.134  0.749  0.813
N  0.137  0.355  0.416
N  0.218  0.857  0.314
N  0.282  0.143  0.814
N  0.363  0.645  0.916
N  0.366  0.251  0.313
N  0.500  0.230  0.873
N  0.634  0.251  0.313
N  0.637  0.645  0.916
N  0.718  0.143  0.814
N  0.782  0.857  0.314
N  0.863  0.355  0.416
N  0.866  0.749  0.813

---

VASP calculation (PBE) on crystalline SrPN at its relaxed geometry.

Uncorrected formation energy ... -0.758 eV/atom

a = 10.641 Å, b = 3.911 Å, c = 5.597 Å
α = 90.00°, β = 90.00°, γ = 90.00°
Sites, in units of the cell vectors:
Sr  0.146  0.250  0.089
Sr  0.354  0.750  0.589
Sr  0.646  0.250  0.411
Sr  0.854  0.750  0.911
P  0.068  0.750  0.532
P  0.432  0.250  0.032
P  0.568  0.750  0.968
P  0.932  0.250  0.468
N  0.119  0.750  0.808
N  0.381  0.250  0.308
N  0.619  0.750  0.692
N  0.881  0.250  0.192

---

VASP calculation (PBE) on crystalline SrP2N at its relaxed geometry.

E above lowest polymorph ... 1181 meV per atom
Uncorrected formation energy ... 1.289 eV/atom

a = 4.763 Å, b = 4.763 Å, c = 4.763 Å
α = 60.00°, β = 60.00°, γ = 60.00°
Sites, in units of the cell vectors:
Sr  0.000  0.000  0.000
P  0.250  0.250  0.250
P  0.750  0.750  0.750
N  0.500  0.500  0.500

---

VASP calculation (PBE) on crystalline Sr4PN2 at its relaxed geometry.

Uncorrected formation energy ... -0.491 eV/atom

a = 8.140 Å, b = 8.140 Å, c = 8.140 Å
α = 120.52°, β = 119.55°, γ = 89.94°
Sites, in units of the cell vectors:
Sr  0.238  0.229  0.009
Sr  0.257  0.244  0.486
Sr  0.257  0.771  0.014
Sr  0.280  0.771  0.509
Sr  0.720  0.229  0.491
Sr  0.743  0.229  0.986
Sr  0.743  0.756  0.514
Sr  0.762  0.771  0.991
P  0.000  0.000  0.500
P  0.000  0.500  0.000
N  0.000  0.000  0.000
N  0.388  0.638  0.750
N  0.500  0.000  0.500
N  0.612  0.362  0.250

---

VASP calculation (PBE) on crystalline Sr3PN at its relaxed geometry.

E above lowest polymorph ... 46 meV per atom
Uncorrected formation energy ... -0.737 eV/atom

a = 8.271 Å, b = 8.271 Å, c = 5.001 Å
α = 90.00°, β = 90.00°, γ = 130.06°
Sites, in units of the cell vectors:
Sr  0.000  0.500  0.500
Sr  0.144  0.856  0.000
Sr  0.258  0.258  0.500
Sr  0.500  0.000  0.500
Sr  0.742  0.742  0.500
Sr  0.856  0.144  0.000
P  0.350  0.650  0.000
P  0.650  0.350  0.000
N  0.116  0.884  0.500
N  0.884  0.116  0.500

---

VASP calculation (PBE) on crystalline Sr12P3N5 at its relaxed geometry.

Uncorrected formation energy ... -0.728 eV/atom

a = 14.237 Å, b = 14.237 Å, c = 14.237 Å
α = 109.47°, β = 109.47°, γ = 109.47°
Sites, in units of the cell vectors:
Sr  0.024  0.205  0.122
Sr  0.024  0.319  0.902
Sr  0.083  0.705  0.681
Sr  0.083  0.878  0.402
Sr  0.098  0.622  0.417
Sr  0.098  0.976  0.681
Sr  0.122  0.024  0.205
Sr  0.122  0.598  0.917
Sr  0.181  0.205  0.583
Sr  0.181  0.476  0.598
Sr  0.205  0.122  0.024
Sr  0.205  0.583  0.181
Sr  0.295  0.319  0.917
Sr  0.295  0.476  0.378
Sr  0.319  0.902  0.024
Sr  0.319  0.917  0.295
Sr  0.378  0.295  0.476
Sr  0.378  0.583  0.902
Sr  0.402  0.083  0.878
Sr  0.402  0.819  0.524
Sr  0.417  0.098  0.622
Sr  0.417  0.819  0.795
Sr  0.476  0.378  0.295
Sr  0.476  0.598  0.181
Sr  0.524  0.402  0.819
Sr  0.524  0.622  0.705
Sr  0.583  0.181  0.205
Sr  0.583  0.902  0.378
Sr  0.598  0.181  0.476
Sr  0.598  0.917  0.122
Sr  0.622  0.417  0.098
Sr  0.622  0.705  0.524
Sr  0.681  0.083  0.705
Sr  0.681  0.098  0.976
Sr  0.705  0.524  0.622
Sr  0.705  0.681  0.083
Sr  0.795  0.417  0.819
Sr  0.795  0.878  0.976
Sr  0.819  0.524  0.402
Sr  0.819  0.795  0.417
Sr  0.878  0.402  0.083
Sr  0.878  0.976  0.795
Sr  0.902  0.024  0.319
Sr  0.902  0.378  0.583
Sr  0.917  0.122  0.598
Sr  0.917  0.295  0.319
Sr  0.976  0.681  0.098
Sr  0.976  0.795  0.878
P  0.125  0.250  0.375
P  0.125  0.375  0.750
P  0.250  0.375  0.125
P  0.250  0.875  0.625
P  0.375  0.125  0.250
P  0.375  0.750  0.125
P  0.625  0.250  0.875
P  0.625  0.875  0.750
P  0.750  0.125  0.375
P  0.750  0.625  0.875
P  0.875  0.625  0.250
P  0.875  0.750  0.625
N  0.000  0.000  0.000
N  0.000  0.000  0.500
N  0.000  0.500  0.000
N  0.000  0.500  0.500
N  0.125  0.750  0.875
N  0.125  0.875  0.250
N  0.250  0.125  0.875
N  0.250  0.625  0.375
N  0.375  0.250  0.625
N  0.375  0.625  0.750
N  0.500  0.000  0.000
N  0.500  0.000  0.500
N  0.500  0.500  0.000
N  0.500  0.500  0.500
N  0.625  0.375  0.250
N  0.625  0.750  0.375
N  0.750  0.375  0.625
N  0.750  0.875  0.125
N  0.875  0.125  0.750
N  0.875  0.250  0.125

---

VASP calculation (PBE) on crystalline Sr5P2N at its relaxed geometry.

Uncorrected formation energy ... -0.754 eV/atom

a = 7.613 Å, b = 7.613 Å, c = 13.742 Å
α = 90.00°, β = 90.00°, γ = 135.05°
Sites, in units of the cell vectors:
Sr  0.055  0.945  0.624
Sr  0.055  0.945  0.876
Sr  0.276  0.724  0.250
Sr  0.307  0.693  0.598
Sr  0.307  0.693  0.902
Sr  0.693  0.307  0.098
Sr  0.693  0.307  0.402
Sr  0.724  0.276  0.750
Sr  0.945  0.055  0.124
Sr  0.945  0.055  0.376
P  0.152  0.848  0.068
P  0.152  0.848  0.432
P  0.848  0.152  0.568
P  0.848  0.152  0.932
N  0.190  0.810  0.750
N  0.810  0.190  0.250